No. 1
Compound: PRhPb2
Source: Alexandria
Functional: PBE-GGA
Structure: relaxed

Structure (CIF):
```
data_PRhPb2
_cell_length_a 4.317
_cell_length_b 5.370
_cell_length_c 8.137
_cell_angle_alpha 90.00
_cell_angle_beta 90.00
_cell_angle_gamma 90.00
_symmetry_space_group_name_H-M 'A m m 2'
_symmetry_Int_Tables_number 38
loop_
_symmetry_equiv_pos_as_xyz
'x,y,z'
'-x,-y,z'
'-x,y,z'
'x,-y,z'
'x,y+1/2,z+1/2'
'-x,-y+1/2,z+1/2'
'-x,y+1/2,z+1/2'
'x,-y+1/2,z+1/2'
loop_
_atom_site_label
_atom_site_type_symbol
_atom_site_fract_x
_atom_site_fract_y
_atom_site_fract_z
_atom_site_occupancy
P1 P 0.000 0.000 0.000 1
Rh1 Rh 0.500 0.000 0.108 1
Pb1 Pb 0.000 0.000 0.356 1
Pb2 Pb 0.500 0.000 0.738 1
```

Values from the calculation:
formation energy from the elements = -0.403 eV/f.u.

No. 2
Compound: SrPb2Br
Source: Alexandria
Functional: PBE-GGA
Structure: relaxed

Structure (CIF):
```
data_SrPb2Br
_cell_length_a 10.399
_cell_length_b 10.399
_cell_length_c 5.930
_cell_angle_alpha 90.00
_cell_angle_beta 90.00
_cell_angle_gamma 90.00
_symmetry_space_group_name_H-M 'I -4 2 d'
_symmetry_Int_Tables_number 122
_symmetry_space_group_name_Hall 'I -4 2bw'
loop_
_atom_site_label
_atom_site_type_symbol
_atom_site_fract_x
_atom_site_fract_y
_atom_site_fract_z
_atom_site_occupancy
Sr1 Sr 0.000 0.000 0.000 1
Pb1 Pb 0.223 0.250 0.625 1
Br1 Br 0.000 0.000 0.500 1
```

Values from the calculation:
distance to the lowest polymorph of the same formula = 393.9 meV per atom

No. 3
Compound: CaY2NpP4
Source: Alexandria
Functional: PBE-GGA
Structure: relaxed

Structure (CIF):
```
data_CaY2NpP4
_cell_length_a 6.944
_cell_length_b 4.017
_cell_length_c 6.947
_cell_angle_alpha 90.00
_cell_angle_beta 109.01
_cell_angle_gamma 90.00
_symmetry_space_group_name_H-M 'P 1 2/m 1'
_symmetry_Int_Tables_number 10
loop_
_symmetry_equiv_pos_as_xyz
'x,y,z'
'-x,-y,-z'
'-x,y,-z'
'x,-y,z'
loop_
_atom_site_label
_atom_site_type_symbol
_atom_site_fract_x
_atom_site_fract_y
_atom_site_fract_z
_atom_site_occupancy
Ca1 Ca 0.000 0.000 0.000 1
Y1 Y 0.500 0.000 0.500 1
Y2 Y 0.500 0.500 0.000 1
Np1 Np 0.000 0.500 0.500 1
P1 P 0.246 0.000 0.741 1
P2 P 0.249 0.500 0.263 1
```

Values from the calculation:
formation energy from the elements = -10.213 eV/f.u.

No. 4
Compound: GeP2Br
Source: Alexandria
Functional: PBE-GGA
Structure: relaxed

Structure (CIF):
```
data_GeP2Br
_cell_length_a 6.610
_cell_length_b 6.610
_cell_length_c 9.015
_cell_angle_alpha 90.00
_cell_angle_beta 90.00
_cell_angle_gamma 90.00
_symmetry_space_group_name_H-M 'I -4 2 d'
_symmetry_Int_Tables_number 122
_symmetry_space_group_name_Hall 'I -4 2bw'
loop_
_atom_site_label
_atom_site_type_symbol
_atom_site_fract_x
_atom_site_fract_y
_atom_site_fract_z
_atom_site_occupancy
Ge1 Ge 0.000 0.000 0.000 1
P1 P 0.194 0.750 0.125 1
Br1 Br 0.000 0.000 0.500 1
```

Values from the calculation:
distance to the lowest polymorph of the same formula = 0.0 meV per atom